# 1
! P2PbW, relaxed, DFT PBE; values from VASP
! crystal system = tetragonal
! symmetry = I-4m2, No. 119
! DFT formation energy = 4.06 eV/f.u.
&SYSTEM
  ibrav = 0, nat = 4, ntyp = 3
/
ATOMIC_SPECIES
P 30.97 P.upf
Pb 207.20 Pb.upf
W 183.84 W.upf
ATOMIC_POSITIONS angstrom
P 0.000 0.000 0.000
P -2.308 -1.916 -0.342
Pb -2.440 -1.781 -3.356
W -2.509 0.640 -1.553
CELL_PARAMETERS angstrom
-2.641 0.776 -4.566
-2.239 -4.338 -2.145
0.062 2.286 4.816

=====

# 2
! Mg2SbOs, relaxed, DFT PBE; values from VASP
! crystal system = orthorhombic
! formation energy without anion corrections = 0.226 eV/atom
! symmetry = Cmmm, No. 65
&SYSTEM
  ibrav = 0, nat = 4, ntyp = 3
/
ATOMIC_SPECIES
Mg 24.30 Mg.upf
Os 190.23 Os.upf
Sb 121.76 Sb.upf
ATOMIC_POSITIONS angstrom
Mg 0.000 0.000 0.000
Mg 1.580 2.350 -0.002
Os 2.540 -0.002 1.537
Sb -0.960 2.352 1.537
CELL_PARAMETERS angstrom
5.080 -0.005 -0.002
-1.920 4.704 -0.002
0.000 0.000 3.076

=====

# 3
! Zn2CrIr, relaxed, DFT PBE; values from VASP
! crystal system = tetragonal
! offset from the most stable computed form = 0.000 eV/atom
! symmetry = P4mm, No. 99
! DFT formation energy = -0.37 eV/f.u.
&SYSTEM
  ibrav = 0, nat = 4, ntyp = 3
/
ATOMIC_SPECIES
Cr 52.00 Cr.upf
Zn 65.41 Zn.upf
Ir 192.22 Ir.upf
ATOMIC_POSITIONS angstrom
Cr 0.000 0.000 3.529
Zn 0.000 0.000 6.925
Zn 1.404 1.404 1.815
Ir 1.404 1.404 5.096
CELL_PARAMETERS angstrom
2.808 0.000 0.000
0.000 2.808 0.000
0.000 0.000 6.946

=====

# 4
! NiHSe2, relaxed, DFT PBE; values from VASP
! crystal system = tetragonal
! offset from the most stable computed form = 0.547 eV/atom
! symmetry = I4/mcm, No. 140
&SYSTEM
  ibrav = 0, nat = 8, ntyp = 3
/
ATOMIC_SPECIES
Ni 58.69 Ni.upf
Se 78.96 Se.upf
H 1.01 H.upf
ATOMIC_POSITIONS angstrom
Ni 6.372 6.372 1.310
Ni 3.186 3.186 1.310
Se 5.164 1.977 0.000
Se 1.209 4.395 0.000
Se 1.977 1.209 0.000
Se 4.395 5.164 0.000
H 6.372 3.186 1.310
H 3.186 6.372 1.310
CELL_PARAMETERS angstrom
6.372 0.000 0.000
0.000 6.372 0.000
3.186 3.186 2.621

=====

# 5
! Er5TlAu4, relaxed, DFT PBE; values from VASP
! crystal system = tetragonal
! symmetry = P4/mmm, No. 123
! DFT formation energy = -7.71 eV/f.u.
&SYSTEM
  ibrav = 0, nat = 10, ntyp = 3
/
ATOMIC_SPECIES
Er 167.26 Er.upf
Tl 204.38 Tl.upf
Au 196.97 Au.upf
ATOMIC_POSITIONS angstrom
Er -1.970 2.123 1.569
Er -1.649 3.590 4.798
Er -1.326 5.065 8.047
Er -1.003 6.541 11.296
Er -0.682 8.008 14.525
Tl 0.000 0.000 0.000
Au 0.348 1.588 3.496
Au 0.673 3.077 6.774
Au 0.997 4.555 10.027
Au 1.322 6.043 13.304
CELL_PARAMETERS angstrom
-0.882 3.177 -1.356
-3.439 -0.678 0.650
1.670 7.631 16.800

=====

# 6
! CdCoSb2I, relaxed, DFT PBE; values from VASP
! crystal system = tetragonal
! formation energy without anion corrections = 1.226 eV/atom
! offset from the most stable computed form = 0.884 eV/atom
! symmetry = P4/mmm, No. 123
&SYSTEM
  ibrav = 0, nat = 5, ntyp = 4
/
ATOMIC_SPECIES
I 126.90 I.upf
Sb 121.76 Sb.upf
Co 58.93 Co.upf
Cd 112.41 Cd.upf
ATOMIC_POSITIONS angstrom
I -0.724 2.718 0.895
Sb -0.756 -1.007 2.445
Sb -2.557 -0.371 -0.943
Co -4.037 1.340 2.397
Cd 0.000 0.000 0.000
CELL_PARAMETERS angstrom
-5.114 -0.741 -1.886
-1.512 -2.013 4.891
-1.448 5.436 1.790

=====

# 7
! Re2TeMo, relaxed, DFT PBE; values from VASP
! crystal system = trigonal
! formation energy without anion corrections = 0.519 eV/atom
! symmetry = R3m, No. 160
&SYSTEM
  ibrav = 0, nat = 4, ntyp = 3
/
ATOMIC_SPECIES
Mo 95.94 Mo.upf
Re 186.21 Re.upf
Te 127.60 Te.upf
ATOMIC_POSITIONS angstrom
Mo 19.536 3.266 1.920
Re 26.140 4.369 2.570
Re 6.643 1.110 0.653
Te 13.085 2.187 1.286
CELL_PARAMETERS angstrom
9.046 0.010 0.006
8.558 2.932 0.006
8.558 1.430 2.560

=====

# 8
! SrSiNi2, relaxed, DFT PBE; values from VASP
! crystal system = tetragonal
! formation energy without anion corrections = -0.044 eV/atom
! symmetry = P4/mmm, No. 123
&SYSTEM
  ibrav = 0, nat = 4, ntyp = 3
/
ATOMIC_SPECIES
Ni 58.69 Ni.upf
Si 28.09 Si.upf
Sr 87.62 Sr.upf
ATOMIC_POSITIONS angstrom
Ni 0.467 -0.246 0.177
Ni 2.504 -1.320 0.952
Si 0.559 -1.190 2.440
Sr 3.530 -2.757 3.569
CELL_PARAMETERS angstrom
-0.228 1.461 2.626
-1.626 -2.275 1.124
5.943 -3.133 2.258

=====

# 9
! Tc2GeBr, relaxed, DFT PBE; values from VASP
! crystal system = tetragonal
! formation energy without anion corrections = 0.987 eV/atom
! offset from the most stable computed form = 0.375 eV/atom
! symmetry = I-42d, No. 122
&SYSTEM
  ibrav = 0, nat = 8, ntyp = 3
/
ATOMIC_SPECIES
Ge 72.64 Ge.upf
Tc 98.00 Tc.upf
Br 79.90 Br.upf
ATOMIC_POSITIONS angstrom
Ge 2.881 2.881 0.000
Ge 2.881 5.761 2.608
Tc 4.334 1.440 1.304
Tc 1.428 4.321 1.304
Tc 4.321 4.308 3.912
Tc 7.202 7.214 3.912
Br 0.000 0.000 0.000
Br 5.761 2.881 2.608
CELL_PARAMETERS angstrom
5.761 0.000 0.000
0.000 5.761 0.000
2.881 2.881 5.216

=====

# 10
! Dy11Al9Pd4, relaxed, DFT PBE; values from VASP
! crystal system = orthorhombic
! symmetry = Cmmm, No. 65
! DFT formation energy = -14.59 eV/f.u.
&SYSTEM
  ibrav = 0, nat = 24, ntyp = 3
/
ATOMIC_SPECIES
Dy 162.50 Dy.upf
Al 26.98 Al.upf
Pd 106.42 Pd.upf
ATOMIC_POSITIONS angstrom
Dy 10.358 -4.606 -1.325
Dy 0.381 -2.812 -4.106
Dy 6.042 -6.722 -6.968
Dy 4.697 -0.696 1.538
Dy 3.766 -4.495 -4.812
Dy 6.973 -2.922 -0.618
Dy 1.178 -5.765 -8.196
Dy 9.561 -1.653 2.766
Dy 0.000 0.000 0.000
Dy 7.480 -5.167 -3.782
Dy 3.259 -2.251 -1.648
Al 0.856 -5.830 -5.031
Al 8.840 -4.474 1.481
Al 6.674 -2.977 2.576
Al 3.023 -7.327 -6.127
Al 9.525 -7.357 -2.566
Al 0.171 -2.947 -0.985
Al 7.789 -8.209 -4.837
Al 1.908 -2.095 1.286
Al 4.848 -5.152 -1.775
Pd 7.788 -5.687 -0.965
Pd 1.908 -4.617 -2.585
Pd 5.255 -6.929 -4.278
Pd 4.441 -3.375 0.727
CELL_PARAMETERS angstrom
-1.043 -2.886 1.880
-0.842 -6.755 -10.838
11.581 -0.663 5.408

=====

# 11
! PmNiAs, relaxed, DFT PBE; values from VASP
! crystal system = hexagonal
! offset from the most stable computed form = 0.000 eV/atom
! symmetry = P-6m2, No. 187
! DFT formation energy = -3.12 eV/f.u.
&SYSTEM
  ibrav = 0, nat = 3, ntyp = 3
/
ATOMIC_SPECIES
Ni 58.69 Ni.upf
As 74.92 As.upf
Pm 145.00 Pm.upf
ATOMIC_POSITIONS angstrom
Ni -0.793 -1.599 1.699
As -0.670 0.059 0.007
Pm -2.881 -2.051 -0.564
CELL_PARAMETERS angstrom
-4.008 0.353 0.044
-0.289 -2.917 -2.879
-0.047 -1.028 3.977

=====

# 12
! CaZr2Pd2, relaxed, DFT PBE; values from VASP
! crystal system = tetragonal
! offset from the most stable computed form = 0.000 eV/atom
! symmetry = P4/mbm, No. 127
! DFT formation energy = -2.12 eV/f.u.
&SYSTEM
  ibrav = 0, nat = 10, ntyp = 3
/
ATOMIC_SPECIES
Ca 40.08 Ca.upf
Zr 91.22 Zr.upf
Pd 106.42 Pd.upf
ATOMIC_POSITIONS angstrom
Ca 0.000 0.000 0.000
Ca 4.024 4.024 0.000
Zr 1.291 5.315 1.647
Zr 5.315 6.758 1.647
Zr 6.758 2.733 1.647
Zr 2.733 1.291 1.647
Pd 2.988 7.013 0.000
Pd 7.013 5.060 0.000
Pd 5.060 1.036 0.000
Pd 1.036 2.988 0.000
CELL_PARAMETERS angstrom
8.049 0.000 0.000
0.000 8.049 0.000
0.000 0.000 3.294

=====

Number 1: uncorrected energy -5.855 eV per atom. Number 2: uncorrected energy -4.409 eV per atom. Number 3: uncorrected energy -5.351 eV per atom. Number 4: uncorrected energy -3.612 eV per atom. Number 5: uncorrected energy -4.600 eV per atom. Number 6: uncorrected energy -2.337 eV per atom. Number 7: uncorrected energy -9.198 eV per atom. Number 8: uncorrected energy -4.711 eV per atom. Number 9: uncorrected energy -5.768 eV per atom. Number 10: uncorrected energy -4.986 eV per atom. Number 11: uncorrected energy -6.101 eV per atom. Number 12: uncorrected energy -6.320 eV per atom.